An optimized crystal structure of Al8H, computed with GGA-PBE.

a b c (Å): 5.7062 5.7062 4.7858
angles (deg): 90.00 90.00 120.00
Closest atoms and distances in Å follow each position.
Positions (direct):
1 Al 0.1695 0.3390 0.2396  1 H 2.09
2 Al 0.1695 0.8305 0.2396  1 H 2.09
3 Al 0.3333 0.6667 0.7393  12 Al 2.86-2.89
4 Al 0.3390 0.1695 0.7604  1 H 2.09
5 Al 0.6610 0.8305 0.2396  1 H 2.09
6 Al 0.6667 0.3333 0.2607  12 Al 2.86-2.89
7 Al 0.8305 0.1695 0.7604  1 H 2.09
8 Al 0.8305 0.6610 0.7604  1 H 2.09
9 H 0.0000 0.0000 0.5000  6 Al 2.09

Raw total energy (eV per atom): -3.600

***

An optimized crystal structure of AlH5, computed with GGA-PBE.

a b c (Å): 2.5938 3.3942 5.7976
angles (deg): 90.00 92.24 90.00
Closest atoms and distances in Å follow each position.
Positions (direct):
1 Al 0.0000 0.0000 0.0000  6 H 1.70-1.75
2 H 0.0004 0.5000 0.0002  2 Al 1.70
3 H 0.1191 0.5000 0.5376  1 H 0.75
4 H 0.4828 0.0000 0.7984  2 Al 1.74-1.75
5 H 0.5172 0.0000 0.2016  2 Al 1.74-1.75
6 H 0.8769 0.5000 0.4625  1 H 0.75

Offset from the most stable computed form (meV/atom): 0

***

An optimized crystal structure of AlH2, computed with GGA-PBE.

a b c (Å): 4.4653 4.4653 5.6848
angles (deg): 111.71 111.71 35.55
Closest atoms and distances in Å follow each position.
Positions (direct):
1 Al 0.0000 0.0000 0.0000  5 H 1.76-1.84
2 Al 0.0898 0.0898 0.6090  3 H 1.72-1.74
3 H 0.3419 0.3419 0.9011  2 Al 1.84
4 H 0.6357 0.6357 0.1330  2 Al 1.76
5 H 0.6976 0.6976 0.5533  2 Al 1.74
6 H 0.9586 0.9586 0.2903  2 Al 1.72-1.82

Raw total energy (eV per atom): -3.353

***

An optimized crystal structure of AlH, computed with GGA-PBE.

a b c (Å): 9.0528 4.9089 3.9161
angles (deg): 90.00 90.00 90.00
Closest atoms and distances in Å follow each position.
Positions (direct):
1 Al 0.0801 0.2500 0.2473  1 H 1.70
2 Al 0.1965 0.7500 0.2491  1 H 1.88
3 Al 0.3035 0.2500 0.7491  1 H 1.88
4 Al 0.4199 0.7500 0.7473  1 H 1.70
5 Al 0.5801 0.2500 0.2527  1 H 1.70
6 Al 0.6965 0.7500 0.2509  1 H 1.88
7 Al 0.8035 0.2500 0.7509  1 H 1.88
8 Al 0.9199 0.7500 0.7527  1 H 1.70
9 H 0.0962 0.2500 0.7493  3 Al 1.88-1.97
10 H 0.1073 0.7500 0.7453  1 Al 1.70
11 H 0.3927 0.2500 0.2453  1 Al 1.70
12 H 0.4038 0.7500 0.2493  3 Al 1.88-1.97
13 H 0.5962 0.2500 0.7507  3 Al 1.88-1.97
14 H 0.6073 0.7500 0.7547  1 Al 1.70
15 H 0.8927 0.2500 0.2547  1 Al 1.70
16 H 0.9038 0.7500 0.2507  3 Al 1.88-1.97

Offset from the most stable computed form (meV/atom): 126

***

An optimized crystal structure of AlH, computed with GGA-PBE.

a b c (Å): 5.4191 5.4191 5.4191
angles (deg): 90.00 90.00 90.00
Closest atoms and distances in Å follow each position.
Positions (direct):
1 Al 0.0000 0.2500 0.5000  4 H 1.92
2 Al 0.0000 0.7500 0.5000  4 H 1.92
3 Al 0.2500 0.5000 0.0000  4 H 1.92
4 Al 0.5000 0.0000 0.2500  4 H 1.92
5 Al 0.5000 0.0000 0.7500  4 H 1.92
6 Al 0.7500 0.5000 0.0000  4 H 1.92
7 H 0.0000 0.5000 0.2500  4 Al 1.92
8 H 0.0000 0.5000 0.7500  4 Al 1.92
9 H 0.2500 0.0000 0.5000  4 Al 1.92
10 H 0.5000 0.2500 0.0000  4 Al 1.92
11 H 0.5000 0.7500 0.0000  4 Al 1.92
12 H 0.7500 0.0000 0.5000  4 Al 1.92

Offset from the most stable computed form (meV/atom): 454

***

An optimized crystal structure of AlH3, computed with GGA-PBE.

a b c (Å): 4.6508 4.6508 4.6508
angles (deg): 55.77 55.77 55.77
Closest atoms and distances in Å follow each position.
Positions (direct):
1 Al 0.0000 0.0000 0.0000  6 H 1.72
2 Al 0.5000 0.5000 0.5000  6 H 1.72
3 H 0.1033 0.7500 0.3967  2 Al 1.72
4 H 0.2500 0.6033 0.8967  2 Al 1.72
5 H 0.3967 0.1033 0.7500  2 Al 1.72
6 H 0.6033 0.8967 0.2500  2 Al 1.72
7 H 0.7500 0.3967 0.1033  2 Al 1.72
8 H 0.8967 0.2500 0.6033  2 Al 1.72

Raw total energy (eV per atom): -3.474

***

An optimized crystal structure of AlH2, computed with GGA-PBE.

a b c (Å): 4.7717 4.7717 4.7717
angles (deg): 126.46 123.33 81.74
Closest atoms and distances in Å follow each position.
Positions (direct):
1 Al 0.1767 0.1767 0.0000  4 H 1.66-1.85
2 Al 0.8233 0.8233 0.0000  4 H 1.66-1.85
3 H 0.1469 0.0742 0.5844  2 Al 1.66-1.85
4 H 0.4898 0.5625 0.4156  2 Al 1.66-1.85
5 H 0.5102 0.9258 0.0727  2 Al 1.66-1.85
6 H 0.8531 0.4375 0.9273  2 Al 1.66-1.85

Raw total energy (eV per atom): -3.411

***

An optimized crystal structure of AlH, computed with GGA-PBE.

a b c (Å): 2.8917 2.9043 5.4223
angles (deg): 90.00 90.00 90.00
Closest atoms and distances in Å follow each position.
Positions (direct):
1 Al 0.2500 0.2500 0.1700  2 H 1.79
2 Al 0.7500 0.7500 0.8300  2 H 1.79
3 H 0.2500 0.7500 0.3620  2 Al 1.79
4 H 0.7500 0.2500 0.6380  2 Al 1.79

Offset from the most stable computed form (meV/atom): 19

***

An optimized crystal structure of AlH, computed with GGA-PBE.

a b c (Å): 3.1126 3.1126 5.0380
angles (deg): 90.00 90.00 120.00
Closest atoms and distances in Å follow each position.
Positions (direct):
1 Al 0.3333 0.6667 0.0000  4 H 1.84-1.92
2 Al 0.6667 0.3333 0.5000  4 H 1.84-1.92
3 H 0.3333 0.6667 0.6339  4 Al 1.84-1.92
4 H 0.6667 0.3333 0.1339  4 Al 1.84-1.92

Offset from the most stable computed form (meV/atom): 286

***

An optimized crystal structure of AlH2, computed with GGA-PBE.

a b c (Å): 4.6424 4.6424 5.7839
angles (deg): 104.67 104.67 33.61
Closest atoms and distances in Å follow each position.
Positions (direct):
1 Al 0.0000 0.0000 0.0000  5 H 1.77-1.84
2 Al 0.0704 0.0704 0.4674  3 H 1.67-1.75
3 H 0.3655 0.3655 0.9348  2 Al 1.77
4 H 0.6340 0.6340 0.0183  2 Al 1.78
5 H 0.6903 0.6903 0.5975  2 Al 1.75
6 H 0.9688 0.9688 0.6729  2 Al 1.67-1.84

Raw total energy (eV per atom): -3.342

***

An optimized crystal structure of AlH, computed with GGA-PBE.

a b c (Å): 7.5415 7.5415 2.8542
angles (deg): 90.00 90.00 120.00
Closest atoms and distances in Å follow each position.
Positions (direct):
1 Al 0.1823 0.3647 0.2500  2 H 1.75
2 Al 0.1823 0.8177 0.2500  2 H 1.75
3 Al 0.3647 0.1823 0.7500  2 H 1.75
4 Al 0.6353 0.8177 0.2500  2 H 1.75
5 Al 0.8177 0.1823 0.7500  2 H 1.75
6 Al 0.8177 0.6353 0.7500  2 H 1.75
7 H 0.1255 0.5628 0.2500  2 Al 1.75
8 H 0.4372 0.5628 0.2500  2 Al 1.75
9 H 0.4372 0.8745 0.2500  2 Al 1.75
10 H 0.5628 0.1255 0.7500  2 Al 1.75
11 H 0.5628 0.4372 0.7500  2 Al 1.75
12 H 0.8745 0.4372 0.7500  2 Al 1.75

Offset from the most stable computed form (meV/atom): 62

***

An optimized crystal structure of AlH3, computed with GGA-PBE.

a b c (Å): 2.7507 2.7507 3.8598
angles (deg): 90.00 90.00 90.00
Closest atoms and distances in Å follow each position.
Positions (direct):
1 Al 0.0000 0.0000 0.0000  4 H 1.73
2 H 0.0000 0.5000 0.7287  2 Al 1.73
3 H 0.5000 0.0000 0.7287  2 Al 1.73
4 H 0.5000 0.5000 0.2147  4 Al 2.11, 4 H 2.33

Raw total energy (eV per atom): -3.089